No. 1
## SrCaW2 (PBE)

Data for crystalline SrCaW2 at its relaxed geometry.

```
SrCaW2
1.0
-3.2130 0.0793 2.4571
-2.4366 -0.6394 -3.1656
0.5436 -6.6546 0.9257
Sr Ca W
1 1 2
direct
0.5000 0.5000 0.7500 Sr
0.5000 0.5000 0.2500 Ca
0.0000 0.0000 0.0817 W
0.0000 0.0000 0.4183 W
```

- SG = P4/mmm

=====

No. 2
## SrCa2W2 (PBE)

Data for crystalline SrCa2W2 at its relaxed geometry.

```
SrCa2W2
1.0
9.0817 0.0000 0.0000
0.0000 9.0817 0.0000
0.0000 0.0000 3.2991
Ca W Sr
4 4 2
direct
0.1925 0.6925 0.5000 Ca
0.6925 0.8075 0.5000 Ca
0.3075 0.1925 0.5000 Ca
0.8075 0.3075 0.5000 Ca
0.9091 0.5909 0.0000 W
0.0909 0.4091 0.0000 W
0.5909 0.0909 0.0000 W
0.4091 0.9091 0.0000 W
0.5000 0.5000 0.0000 Sr
0.0000 0.0000 0.0000 Sr
```

- SG = P4/mbm

=====

Number 1: calculated formation energy 5.46 eV/f.u., offset from the most stable computed form 787.6 meV per atom, total magnetic moment 0.0 Bohr magnetons per cell. Number 2: calculated formation energy 4.63 eV/f.u., offset from the most stable computed form 240.5 meV per atom, total magnetic moment 0.0 Bohr magnetons per cell.